Here is a relaxed structure of Sr2InGaH from the Alexandria database. Energies are from PBE.

The structure belongs to space group P4/mmm (No. 123); the cell edges are 5.397, 5.397 and 4.397 Å and the angles 90.00°, 90.00° and 90.00°. Symmetry generates all atoms from Sr at (0.000, 0.500, 0.000), In at (0.000, 0.000, 0.500), Ga at (0.500, 0.500, 0.500) and H at (0.000, 0.000, 0.000).

Its total energy is -2.78 eV/atom. As for the density: 4.68 g/cm3. As for the relative energy among the computed polymorphs: 3.32 kJ per mole of atoms.